# BaScCo

An optimized crystal structure of BaScCo (PBE, the Alexandria database).

Values from the calculation:
Its space group is P4/nmm. Its crystal system is tetragonal. The density of states at the Fermi level comes out at 1.8 states/eV/f.u. As for the formation energy: 0.02 eV/atom.

Unit cell a=4.3191 b=4.3191 c=9.6054 alpha=90.00 beta=90.00 gamma=90.00
With the nearest neighbours (Å) after each atom.
Fractional coordinates of all 6 atoms:
Ba 0.2500 0.2500 0.1850  4 Co 3.42, 4 Sc 3.72
Ba 0.7500 0.7500 0.8150  4 Co 3.42, 4 Sc 3.72
Sc 0.2500 0.7500 0.5000  4 Co 2.62
Sc 0.7500 0.2500 0.5000  4 Co 2.62
Co 0.2500 0.2500 0.6548  4 Sc 2.62
Co 0.7500 0.7500 0.3452  4 Sc 2.62